The following is a DFT calculation (PBE) of crystalline KSnB at its relaxed geometry.

a = 14.7996 Å, b = 7.2105 Å, c = 7.2105 Å
α = 153.98°, β = 150.35°, γ = 29.65°
Closest atoms and distances in Å follow each position.
Sites, in units of the cell vectors:
1 K 0.7547 0.3124 0.6876  1 B 2.89
2 K 0.2453 0.6876 0.3124  1 B 2.89
3 B 0.0171 0.7274 0.2726  2 B 1.65
4 B 0.9829 0.2726 0.7274  2 B 1.65
5 Sn 0.3392 0.3411 0.6589  1 B 2.46
6 Sn 0.6608 0.6589 0.3411  1 B 2.46

Values from the calculation:
Energy of formation from the pure elements   0.185 eV/atom
D(E_F)   0.6374 states/eV/atom